Tl2CoPdF6: optimized geometry, PBE+U.

```
Tl2CoPdF6
1.0
6.098 0.000 0.000
3.049 5.281 0.000
3.049 1.760 10.428
Tl Co Pd F
4 2 2 12
Direct
0.878 0.878 0.365
0.122 0.122 0.635
0.717 0.717 0.850
0.283 0.283 0.150
0.592 0.592 0.223
0.408 0.408 0.777
0.000 0.000 0.000
0.500 0.500 0.500
0.852 0.397 0.355
0.397 0.852 0.355
0.397 0.397 0.355
0.148 0.603 0.645
0.603 0.148 0.645
0.603 0.603 0.645
0.705 0.211 0.874
0.211 0.705 0.874
0.211 0.211 0.874
0.295 0.789 0.126
0.789 0.295 0.126
0.789 0.789 0.126
```

Values from the calculation:
**Mass density**: 6.804 g/cm3
**Calculated volume**: 167.9 Å³/f.u.
**Symmetry**: No. 166
**Calculated total energy**: -4.314 eV per atom